## P
The following is a DFT calculation (PBE) of crystalline SmErGa4 at its relaxed geometry.

Cell lengths 5.913, 5.913, 5.913 Å; angles 138.07, 103.56, 91.23 degrees
Fractional coordinates of all 6 atoms:
Sm 0.000 0.000 0.000
Er 0.500 0.500 0.000
Ga 0.084 0.751 0.333
Ga 0.418 0.751 0.667
Ga 0.582 0.249 0.333
Ga 0.916 0.249 0.667

## Properties
Density of states at the Fermi level in states/eV/cell: 2.5
Symmetry: Immm, No. 71
Crystal system: orthorhombic

## Q
The following is a DFT calculation (PBE) of crystalline SmErGa4 at its relaxed geometry.

Cell lengths 5.534, 5.534, 5.534 Å; angles 60.00, 60.00, 60.00 degrees
Fractional coordinates of all 6 atoms:
Sm 0.000 0.000 0.000
Er 0.250 0.250 0.250
Ga 0.125 0.625 0.625
Ga 0.625 0.125 0.625
Ga 0.625 0.625 0.125
Ga 0.625 0.625 0.625

## Properties
Density of states at the Fermi level in states/eV/cell: 4.0
Symmetry: F-43m, No. 216
Crystal system: cubic

Which of them is least stable? Easy: Q.

## P
The following is a DFT calculation (PBE) of crystalline Sm2ErGa at its relaxed geometry.

Cell lengths 3.570, 3.570, 8.962 Å; angles 90.00, 90.00, 90.00 degrees
Fractional coordinates of all 4 atoms:
Sm 0.000 0.000 0.212
Sm 0.000 0.000 0.788
Er 0.500 0.500 0.500
Ga 0.500 0.500 0.000

## Properties
Density of states at the Fermi level in states/eV/cell: 4.5
Symmetry: P4/mmm, No. 123
Crystal system: tetragonal

## Q
The following is a DFT calculation (PBE) of crystalline Sm2ErGa at its relaxed geometry.

Cell lengths 5.374, 5.374, 5.374 Å; angles 60.00, 60.00, 60.00 degrees
Fractional coordinates of all 4 atoms:
Sm 0.250 0.250 0.250
Sm 0.750 0.750 0.750
Er 0.000 0.000 0.000
Ga 0.500 0.500 0.500

## Properties
Density of states at the Fermi level in states/eV/cell: 7.1
Symmetry: Fm-3m, No. 225
Crystal system: cubic

Which of them is least stable? Easy: Q.

## P
The following is a DFT calculation (PBE) of crystalline SmEr2Ga2 at its relaxed geometry.

Cell lengths 7.658, 7.658, 4.316 Å; angles 90.00, 90.00, 90.00 degrees
Fractional coordinates of all 10 atoms:
Sm 0.000 0.000 0.000
Sm 0.500 0.500 0.000
Er 0.174 0.326 0.500
Er 0.326 0.826 0.500
Er 0.674 0.174 0.500
Er 0.826 0.674 0.500
Ga 0.119 0.619 0.000
Ga 0.381 0.119 0.000
Ga 0.619 0.881 0.000
Ga 0.881 0.381 0.000

## Properties
Density of states at the Fermi level in states/eV/cell: 11.6
Symmetry: P4/mbm, No. 127
Crystal system: tetragonal

## Q
The following is a DFT calculation (PBE) of crystalline SmEr2Ga2 at its relaxed geometry.

Cell lengths 4.519, 4.519, 7.090 Å; angles 108.43, 108.43, 90.04 degrees
Fractional coordinates of all 5 atoms:
Sm 0.000 0.000 0.000
Er 0.250 0.750 0.500
Er 0.750 0.250 0.500
Ga 0.402 0.402 0.807
Ga 0.598 0.598 0.193

## Properties
Density of states at the Fermi level in states/eV/cell: 3.6
Symmetry: C2/m, No. 12
Crystal system: monoclinic

Which of them is least stable? Easy: Q.

## P
The following is a DFT calculation (PBE) of crystalline SmEr3Ga2 at its relaxed geometry.

Cell lengths 8.358, 8.358, 8.818 Å; angles 116.20, 116.20, 35.33 degrees
Fractional coordinates of all 12 atoms:
Sm 0.130 0.130 0.189
Sm 0.870 0.870 0.811
Er 0.063 0.063 0.717
Er 0.312 0.312 0.010
Er 0.379 0.379 0.489
Er 0.621 0.621 0.511
Er 0.688 0.688 0.990
Er 0.937 0.937 0.283
Ga 0.226 0.226 0.614
Ga 0.486 0.486 0.849
Ga 0.514 0.514 0.151
Ga 0.774 0.774 0.386

## Properties
Density of states at the Fermi level in states/eV/cell: 10.1
Symmetry: C2/m, No. 12
Crystal system: monoclinic

## Q
The following is a DFT calculation (PBE) of crystalline SmEr3Ga2 at its relaxed geometry.

Cell lengths 4.911, 9.474, 6.602 Å; angles 90.00, 90.00, 90.00 degrees
Fractional coordinates of all 12 atoms:
Sm 0.000 0.050 0.000
Sm 0.000 0.950 0.500
Er 0.000 0.323 0.629
Er 0.000 0.677 0.129
Er 0.500 0.187 0.292
Er 0.500 0.447 0.923
Er 0.500 0.553 0.423
Er 0.500 0.813 0.792
Ga 0.000 0.363 0.172
Ga 0.000 0.637 0.672
Ga 0.500 0.140 0.746
Ga 0.500 0.860 0.246

## Properties
Density of states at the Fermi level in states/eV/cell: 10.6
Symmetry: Pmc2_1, No. 26
Crystal system: orthorhombic

Which of them is least stable? Easy: P.